(1)
## BaLi3Cd9 (PBE)

Data for crystalline BaLi3Cd9 at its relaxed geometry.

Results
final energy: -1.45 eV per atom
energy of formation: -0.22 eV per atom

Lattice parameters (Å, degrees): 5.4948 7.8585 7.8404 82.73 69.49 68.83
Element x y z (fractional)
Cd (0.0000, 0.5000, 0.0000)
Cd (0.0086, 0.6493, 0.3579)
Cd (0.9914, 0.3507, 0.6421)
Cd (0.4934, 0.7825, 0.2310)
Cd (0.6335, 0.3507, 0.3579)
Cd (0.2756, 0.2175, 0.2310)
Cd (0.3665, 0.6493, 0.6421)
Cd (0.7244, 0.7825, 0.7690)
Cd (0.5066, 0.2175, 0.7690)
Li (0.0000, 0.0000, 0.5000)
Li (0.5000, 0.0000, 0.5000)
Li (0.5000, 0.5000, 0.0000)
Ba (0.0000, 0.0000, 0.0000)

(2)
## BaLiCd3 (PBE)

Data for crystalline BaLiCd3 at its relaxed geometry.

Results
final energy: -1.54 eV per atom
excess energy over the best structure of this formula in the dataset: 0 meV per atom
energy of formation: -0.22 eV per atom

Lattice parameters (Å, degrees): 6.0308 7.3353 7.3352 120.00 90.00 90.00
Element x y z (fractional)
Cd (0.7501, 0.1882, 0.8120)
Cd (0.2499, 0.8118, 0.1880)
Cd (0.2499, 0.3762, 0.1881)
Cd (0.7501, 0.6238, 0.8119)
Cd (0.7500, 0.1882, 0.3762)
Cd (0.2500, 0.8118, 0.6238)
Li (0.0000, 0.0000, 0.0000)
Li (0.5000, 0.0000, 0.0000)
Ba (0.7499, 0.6668, 0.3334)
Ba (0.2501, 0.3332, 0.6666)

(3)
## Ba2Li9Cd3 (PBE)

Data for crystalline Ba2Li9Cd3 at its relaxed geometry.

Results
final energy: -1.84 eV per atom
energy of formation: -0.14 eV per atom

Lattice parameters (Å, degrees): 8.6375 8.6375 10.4559 90.00 90.00 116.43
Element x y z (fractional)
Li (0.3528, 0.5538, 0.2500)
Li (0.8360, 0.8360, 0.7500)
Li (0.6578, 0.9824, 0.5795)
Li (0.0176, 0.3422, 0.4205)
Li (0.3422, 0.0176, 0.4205)
Li (0.9824, 0.6578, 0.5795)
Li (0.6578, 0.9824, 0.9205)
Li (0.6472, 0.4462, 0.7500)
Li (0.3466, 0.3466, 0.4978)
Li (0.5538, 0.3528, 0.2500)
Li (0.3466, 0.3466, 0.0022)
Li (0.0176, 0.3422, 0.0795)
Li (0.6534, 0.6534, 0.9978)
Li (0.4462, 0.6472, 0.7500)
Li (0.3422, 0.0176, 0.0795)
Li (0.9824, 0.6578, 0.9205)
Li (0.6534, 0.6534, 0.5022)
Li (0.1640, 0.1640, 0.2500)
Cd (0.6826, 0.3174, 0.5000)
Cd (0.3174, 0.6826, 0.5000)
Cd (0.3174, 0.6826, 0.0000)
Cd (0.0000, 0.0000, 0.0000)
Cd (0.0000, 0.0000, 0.5000)
Cd (0.6826, 0.3174, 0.0000)
Ba (0.3175, 0.0134, 0.7500)
Ba (0.9866, 0.6825, 0.2500)
Ba (0.0134, 0.3175, 0.7500)
Ba (0.6825, 0.9866, 0.2500)

(4)
## BaLi4Cd (PBE)

Data for crystalline BaLi4Cd at its relaxed geometry.

Results
final energy: -1.82 eV per atom
excess energy over the best structure of this formula in the dataset: 0 meV per atom
energy of formation: -0.07 eV per atom

Lattice parameters (Å, degrees): 8.5531 5.2806 8.3821 80.86 120.76 90.03
Element x y z (fractional)
Ba (0.1915, 0.2499, 0.0002)
Ba (0.8085, 0.7501, 0.9998)
Cd (0.0000, 0.5000, 0.5000)
Cd (0.5000, 0.0000, 0.5000)
Li (0.3106, 0.7742, 0.7717)
Li (0.4601, 0.2744, 0.7711)
Li (0.1170, 0.0612, 0.4151)
Li (0.5399, 0.7256, 0.2289)
Li (0.8830, 0.9388, 0.5849)
Li (0.2980, 0.5613, 0.4149)
Li (0.6894, 0.2258, 0.2283)
Li (0.7020, 0.4387, 0.5851)

(5)
## BaLi8Cd2 (PBE)

Data for crystalline BaLi8Cd2 at its relaxed geometry.

Results
final energy: -1.62 eV per atom
energy of formation: 0.12 eV per atom

Lattice parameters (Å, degrees): 5.5079 5.5079 11.2475 104.17 104.17 90.00
Element x y z (fractional)
Li (0.0991, 0.5994, 0.6984)
Li (0.5994, 0.5994, 0.6984)
Li (0.4006, 0.9009, 0.3016)
Li (0.9009, 0.4006, 0.3016)
Li (0.5994, 0.0991, 0.6984)
Li (0.9009, 0.9009, 0.3016)
Li (0.0991, 0.0991, 0.6984)
Li (0.4006, 0.4006, 0.3016)
Cd (0.7500, 0.2500, 0.5000)
Cd (0.2500, 0.7500, 0.5000)
Ba (0.5000, 0.5000, 0.0000)

(6)
## BaLiCd2 (PBE)

Data for crystalline BaLiCd2 at its relaxed geometry.

Results
final energy: -1.68 eV per atom
excess energy over the best structure of this formula in the dataset: 0 meV per atom
energy of formation: -0.26 eV per atom

Lattice parameters (Å, degrees): 4.6316 6.3461 8.3874 90.00 90.00 111.40
Element x y z (fractional)
Cd (0.3308, 0.6617, 0.9391)
Cd (0.6692, 0.3383, 0.4391)
Cd (0.6692, 0.3383, 0.0609)
Cd (0.3308, 0.6617, 0.5609)
Li (0.2317, 0.4634, 0.2500)
Li (0.7683, 0.5366, 0.7500)
Ba (0.9541, 0.9082, 0.2500)
Ba (0.0459, 0.0918, 0.7500)

(7)
## BaLiCd2 (PBE)

Data for crystalline BaLiCd2 at its relaxed geometry.

Results
final energy: -1.57 eV per atom
excess energy over the best structure of this formula in the dataset: 110 meV per atom
energy of formation: -0.16 eV per atom

Lattice parameters (Å, degrees): 5.4437 5.4437 5.4437 118.96 118.96 91.80
Element x y z (fractional)
Cd (0.0000, 0.0000, 0.0000)
Cd (0.2500, 0.7500, 0.5000)
Ba (0.7500, 0.2500, 0.5000)
Li (0.5000, 0.5000, 0.0000)

(8)
## BaLiCd2 (PBE)

Data for crystalline BaLiCd2 at its relaxed geometry.

Results
final energy: -1.68 eV per atom
excess energy over the best structure of this formula in the dataset: 6 meV per atom
energy of formation: -0.26 eV per atom

Lattice parameters (Å, degrees): 6.2757 8.2523 17.5771 90.00 90.00 90.00
Element x y z (fractional)
Cd (0.4389, 0.5598, 0.2900)
Cd (0.4389, 0.9402, 0.2900)
Cd (0.7811, 0.9367, 0.0429)
Cd (0.9389, 0.4402, 0.2100)
Cd (0.2189, 0.0633, 0.9571)
Cd (0.2811, 0.4367, 0.4571)
Cd (0.0611, 0.5598, 0.7900)
Cd (0.7811, 0.5633, 0.0429)
Cd (0.2189, 0.4367, 0.9571)
Cd (0.7189, 0.9367, 0.5429)
Cd (0.9389, 0.0598, 0.2100)
Cd (0.7189, 0.5633, 0.5429)
Cd (0.2811, 0.0633, 0.4571)
Cd (0.5611, 0.4402, 0.7100)
Cd (0.0611, 0.9402, 0.7900)
Cd (0.5611, 0.0598, 0.7100)
Li (0.2700, 0.2500, 0.8085)
Li (0.0246, 0.7500, 0.9300)
Li (0.7300, 0.7500, 0.1915)
Li (0.2300, 0.2500, 0.3085)
Li (0.9754, 0.2500, 0.0700)
Li (0.7700, 0.7500, 0.6915)
Li (0.5246, 0.2500, 0.5700)
Li (0.4754, 0.7500, 0.4300)
Ba (0.0371, 0.2500, 0.6338)
Ba (0.2385, 0.7500, 0.6068)
Ba (0.2615, 0.7500, 0.1068)
Ba (0.9629, 0.7500, 0.3662)
Ba (0.7615, 0.2500, 0.3932)
Ba (0.4629, 0.2500, 0.1338)
Ba (0.7385, 0.2500, 0.8932)
Ba (0.5371, 0.7500, 0.8662)

(9)
## Ba6LiCd5 (PBE)

Data for crystalline Ba6LiCd5 at its relaxed geometry.

Results
final energy: -1.77 eV per atom
energy of formation: -0.27 eV per atom

Lattice parameters (Å, degrees): 6.0634 8.5044 10.4746 113.95 106.80 90.00
Element x y z (fractional)
Cd (0.3375, 0.8376, 0.6752)
Cd (0.3338, 0.3338, 0.6678)
Cd (0.6625, 0.1624, 0.3248)
Cd (0.6662, 0.6662, 0.3322)
Cd (0.0000, 0.5000, 0.0000)
Ba (0.5000, 0.7423, 0.0000)
Ba (0.8307, 0.0846, 0.6616)
Ba (0.8307, 0.5769, 0.6615)
Ba (0.5000, 0.2577, 0.0000)
Ba (0.1693, 0.4231, 0.3385)
Ba (0.1693, 0.9154, 0.3384)
Li (0.0000, 0.0000, 0.0000)

(10)
## Ba2LiCd (PBE)

Data for crystalline Ba2LiCd at its relaxed geometry.

Results
final energy: -1.64 eV per atom
energy of formation: 0.03 eV per atom

Lattice parameters (Å, degrees): 11.1848 11.1848 11.1848 22.46 22.46 22.46
Element x y z (fractional)
Ba (0.9943, 0.9943, 0.9943)
Ba (0.5057, 0.5057, 0.5057)
Cd (0.2500, 0.2500, 0.2500)
Li (0.7500, 0.7500, 0.7500)

(11)
## Ba2LiCd10 (PBE)

Data for crystalline Ba2LiCd10 at its relaxed geometry.

Results
final energy: -1.29 eV per atom
energy of formation: -0.15 eV per atom

Lattice parameters (Å, degrees): 6.5413 11.9723 9.9478 90.00 90.00 90.00
Element x y z (fractional)
Cd (0.2788, 0.6841, 0.4291)
Cd (0.0000, 0.8806, 0.4608)
Cd (0.0000, 0.4388, 0.7598)
Cd (0.0000, 0.6959, 0.6766)
Cd (0.7212, 0.3159, 0.5709)
Cd (0.7212, 0.8159, 0.9291)
Cd (0.0000, 0.1959, 0.8234)
Cd (0.0000, 0.3806, 0.0392)
Cd (0.2788, 0.8159, 0.9291)
Cd (0.0000, 0.0612, 0.2598)
Cd (0.0000, 0.9388, 0.7402)
Cd (0.7212, 0.6841, 0.4291)
Cd (0.2788, 0.1841, 0.0709)
Cd (0.2788, 0.3159, 0.5709)
Cd (0.0000, 0.6194, 0.9608)
Cd (0.7212, 0.1841, 0.0709)
Cd (0.0000, 0.5612, 0.2402)
Cd (0.0000, 0.8041, 0.1766)
Cd (0.0000, 0.1194, 0.5392)
Cd (0.0000, 0.3041, 0.3234)
Ba (0.5000, 0.9373, 0.2486)
Ba (0.5000, 0.0627, 0.7514)
Ba (0.5000, 0.5627, 0.7486)
Ba (0.5000, 0.4373, 0.2514)
Li (0.0000, 0.5000, 0.5000)
Li (0.0000, 0.0000, 0.0000)

(12)
## Ba3Li4Cd4 (PBE)

Data for crystalline Ba3Li4Cd4 at its relaxed geometry.

Results
final energy: -1.76 eV per atom
energy of formation: -0.21 eV per atom

Lattice parameters (Å, degrees): 7.5810 7.5810 7.5810 109.47 109.47 109.47
Element x y z (fractional)
Ba (0.0000, 0.5000, 0.5000)
Ba (0.5000, 0.0000, 0.5000)
Ba (0.5000, 0.5000, 0.0000)
Li (0.7647, 0.7647, 0.7647)
Li (0.0000, 0.0000, 0.2353)
Li (0.0000, 0.2353, 0.0000)
Li (0.2353, 0.0000, 0.0000)
Cd (0.4011, 0.4011, 0.4011)
Cd (0.5989, 0.0000, 0.0000)
Cd (0.0000, 0.5989, 0.0000)
Cd (0.0000, 0.0000, 0.5989)

- Number 12 is which compound?
  Ba3Li4Cd4

- final energy of number 9 (Ba6LiCd5)?
  -1.77 eV per atom

- energy of formation of number 3 (Ba2Li9Cd3)?
  -0.14 eV per atom

- Among the records above, which one has the highest energy of formation?
  BaLi8Cd2